# BeFeO2 | Alexandria via LeMat-Bulk | PBE+U | relaxed
data_BeFeO2
_space_group_name_H-M_alt 'R -3 m'
_space_group_IT_number 166
_space_group_name_Hall '-R 3 2"'
_cell_length_a 2.7641
_cell_length_b 2.7641
_cell_length_c 16.3537
_cell_angle_alpha 90.00
_cell_angle_beta 90.00
_cell_angle_gamma 120.00
loop_
_atom_site_label
_atom_site_type_symbol
_atom_site_fract_x
_atom_site_fract_y
_atom_site_fract_z
Be1 Be 0.0000 0.0000 0.0000
Fe1 Fe 0.0000 0.0000 0.5000
O1 O 0.0000 0.0000 0.3906
# raw total energy	-73.391	eV per cell